4
Lattice="-0.9717 -3.8719 -1.6957 1.0542 -0.8933 -4.1112 3.1585 -2.8454 -0.8597" Properties=species:S:1:pos:R:3 comment="Zn3Re, optimized geometry, DFT PBE" e_form_ev_per_atom=0.423 magnetic_moment_mub_per_atom=0.09 pbc="T T T"
Re 0.0000 0.0000 0.0000
Zn 2.4307 -5.7079 -4.9999
Zn 1.6205 -3.8053 -3.3333
Zn 0.8102 -1.9026 -1.6666



2
Lattice="4.7672 0.0027 0.0017 3.9743 2.6328 0.0017 3.9743 1.1982 2.3443" Properties=species:S:1:pos:R:3 comment="ZnRe, optimized geometry, DFT PBE" e_form_ev_per_atom=0.267 magnetic_moment_mub_per_atom=0.00 pbc="T T T"
Re 0.0000 0.0000 0.0000
Zn 6.3579 1.9169 1.1738



3
Lattice="2.7867 0.0000 0.0000 -1.3934 2.4134 0.0000 0.0000 0.0000 6.6689" Properties=species:S:1:pos:R:3 comment="ZnRe2, optimized geometry, DFT PBE" e_form_ev_per_atom=0.075 magnetic_moment_mub_per_atom=0.00 pbc="T T T"
Re 0.0000 0.0000 6.6028
Re 0.0000 1.6089 4.5120
Zn 1.3934 0.8045 2.2230



12
Lattice="-5.9419 2.4034 4.6756 -1.5231 -2.5453 -7.3583 -0.4474 -3.9323 1.4528" Properties=species:S:1:pos:R:3 comment="ZnRe, optimized geometry, DFT PBE" e_form_ev_per_atom=0.325 magnetic_moment_mub_per_atom=0.00 pbc="T T T"
Zn -5.7679 -0.5841 -0.2987
Zn -2.7480 -4.4986 -3.8468
Zn -2.8101 -0.5279 0.7643
Zn -2.1445 -3.4900 -0.9312
Zn -5.1644 0.4244 2.6168
Zn -5.1023 -3.5463 -1.9942
Re -4.0975 -2.1747 -4.0894
Re -4.3179 -2.7402 0.4290
Re -1.6318 -2.1278 -3.2032
Re -3.8149 -1.8995 2.8595
Re -3.5944 -1.3340 -1.6589
Re -6.2806 -1.9464 1.9733



4
Lattice="-0.0160 2.9262 -2.3163 -4.1046 -0.6463 -0.7880 -0.8992 2.2450 2.8424" Properties=species:S:1:pos:R:3 comment="ZnRe, optimized geometry, DFT PBE" e_form_ev_per_atom=0.422 magnetic_moment_mub_per_atom=0.00 pbc="T T T"
Re -0.2368 2.7559 -1.0266
Re -0.6784 2.4153 1.5527
Zn -2.2811 0.9697 -0.2625
Zn -2.7386 3.5553 0.0006



8
Lattice="4.4575 0.0000 0.0000 0.0000 4.6458 0.0000 0.0000 0.0000 5.5815" Properties=species:S:1:pos:R:3 comment="ZnRe, optimized geometry, DFT PBE" e_form_ev_per_atom=0.188 magnetic_moment_mub_per_atom=0.00 pbc="T T T"
Zn 1.1144 0.3511 3.4940
Zn 3.3431 1.9718 0.7033
Zn 1.1144 2.6741 4.8782
Zn 3.3431 4.2947 2.0874
Re 1.1144 0.2416 0.6808
Re 3.3431 2.0813 3.4716
Re 1.1144 2.5645 2.1099
Re 3.3431 4.4043 4.9006



6
Lattice="-2.3334 -2.3134 4.1336 -0.3900 -0.5651 5.2356 -4.5253 4.0254 1.5941" Properties=species:S:1:pos:R:3 comment="ZnRe, optimized geometry, DFT PBE" e_form_ev_per_atom=0.243 magnetic_moment_mub_per_atom=0.00 pbc="T T T"
Zn -2.4230 0.3907 3.6530
Zn -5.2786 -0.2706 9.7379
Zn -5.0550 2.9791 4.1881
Re -4.5436 4.0035 1.6611
Re -2.9330 -0.6426 6.1918
Re -4.8299 0.8147 7.2251



6
Lattice="0.8051 2.6612 4.2029 -2.0154 -4.6100 0.2839 4.2566 -1.8394 0.3493" Properties=species:S:1:pos:R:3 comment="ZnRe5, optimized geometry, DFT PBE" e_form_ev_per_atom=0.604 magnetic_moment_mub_per_atom=0.00 pbc="T T T"
Zn 0.0000 0.0000 0.0000
Re 1.1206 -3.2247 0.3166
Re -1.0752 -2.1863 1.5903
Re 2.5308 0.4109 2.2761
Re 1.5231 -1.8941 2.4181
Re -0.1351 0.2375 2.8966



2
Lattice="-1.4171 0.4874 -2.6514 -2.0460 -2.1449 0.6993 -1.7554 2.1066 1.3254" Properties=species:S:1:pos:R:3 comment="ZnRe, optimized geometry, DFT PBE" e_form_ev_per_atom=0.573 magnetic_moment_mub_per_atom=0.00 pbc="T T T"
Re 0.0000 0.0000 0.0000
Zn -2.6093 0.2245 -0.3134



4
Lattice="-3.2326 -1.7428 -0.9136 3.1537 -4.9694 -1.6791 0.4493 -1.9135 2.0604" Properties=species:S:1:pos:R:3 comment="ZnRe, optimized geometry, DFT PBE" e_form_ev_per_atom=0.196 magnetic_moment_mub_per_atom=0.00 pbc="T T T"
Re 0.5184 -2.0158 2.0109
Re -0.7847 -2.4898 -0.3120
Zn 1.0408 -5.9772 -0.1185
Zn 1.8467 -3.4978 0.1383



32
Lattice="-4.7524 -4.1521 4.4041 -7.5009 -4.5115 -12.3474 2.6406 -3.4045 -0.3602" Properties=species:S:1:pos:R:3 comment="ZnRe, optimized geometry, DFT PBE" e_form_ev_per_atom=0.456 magnetic_moment_mub_per_atom=0.00 pbc="T T T"
Zn -0.7754 -0.6774 0.7186
Zn -3.9770 -3.4746 3.6856
Zn -5.3782 -4.5954 -8.9681
Zn -6.9290 -5.9502 -7.5310
Zn -3.2055 -4.6355 -5.6353
Zn -6.4072 -7.4326 -2.6682
Zn -0.3075 -4.0419 -2.9745
Zn -1.8582 -5.3967 -1.5374
Zn -1.8313 -4.4557 2.7405
Zn -0.2805 -3.1009 1.3034
Zn -6.4341 -8.3736 -6.9462
Zn -7.9849 -9.7285 -5.5091
Zn -6.9020 -5.0092 -3.2531
Zn -5.3513 -3.6544 -4.6902
Zn -4.0040 -4.4156 -0.5924
Zn -5.5548 -5.7705 0.8447
Re -4.3748 -2.6313 -7.2014
Re -3.1261 -1.8803 -5.1460
Re -1.7789 -2.6415 -1.0482
Re -3.0275 -3.3925 -3.1036
Re 0.6960 -2.0778 -1.2078
Re -5.5563 -5.8383 -11.4998
Re -4.2090 -6.5996 -7.4020
Re -5.4576 -7.3505 -9.4574
Re -5.4307 -6.4096 -5.1794
Re -4.1820 -5.6586 -3.1241
Re -2.8348 -6.4198 0.9738
Re -4.0834 -7.1708 -1.0816
Re -3.0005 -2.4515 1.1744
Re -9.2528 -6.2121 -9.1177
Re -7.9055 -6.9733 -5.0198
Re -9.1541 -7.7243 -7.0752



8
Lattice="2.6968 -4.6713 0.0000 2.6968 4.6713 0.0000 0.0000 0.0000 4.5431" Properties=species:S:1:pos:R:3 comment="Zn3Re, optimized geometry, DFT PBE" e_form_ev_per_atom=0.254 magnetic_moment_mub_per_atom=0.19 pbc="T T T"
Zn 1.3665 -0.7897 3.4073
Zn 2.6968 -3.0926 3.4073
Zn 1.3665 0.7897 1.1358
Zn 4.0270 -0.7897 3.4073
Zn 2.6968 3.0926 1.1358
Zn 4.0270 0.7897 1.1358
Re 2.6968 -1.5561 1.1358
Re 2.6968 1.5561 3.4073



Total energy readings, ordered: -3.644; -6.594; -8.648; -6.536; -6.439; -6.673; -6.618; -9.982; -6.288; -6.665; -6.405; -3.814 eV per atom